DFT (PBE) results for a geometry-optimized LiZnFe2 structure.

Cell and atoms, written as POSCAR:
```
LiZnFe2
1.0
-1.007 -0.265 -2.329
2.284 -0.682 -0.910
-1.589 -7.353 1.524
Zn Li Fe
1 1 2
Cartesian
-0.579 -6.110 -0.451
-0.782 -3.620 0.750
-0.021 -0.098 0.020
0.276 -2.150 -1.272
```

Output
uncorrected energy: -19.68 eV for the cell shown
theoretical density: 6.12 g cm⁻³
E_form: 108 meV/atom
DOS(E_F): 2.84 states/eV/cell
space group: P4mm